Entry from Alexandria via LeMat-Bulk: an optimized crystal structure of Mn2RePd (GGA-PBE).

Values from the calculation:
Fermi-level density of states	1.68	states/eV/atom
crystal system	tetragonal
total energy	-8.3702	eV per atom
magnetic moment	0.8975	μB/atom
ΔH_f (0 K)	2.50	eV/f.u.

abc: 6.6922 6.6922 5.4345
angles: 52.00 52.00 90.00
Closest atoms and distances in Å follow each position.
Atoms (fractional coordinates):
Re 0.0000 0.0000 0.0000  4 Mn 2.37
Re 0.7500 0.2500 0.5000  4 Mn 2.37
Mn 0.6442 0.1250 0.2500  2 Re 2.37, 2 Pd 2.55
Mn 0.1058 0.6250 0.2500  2 Re 2.37, 2 Pd 2.55
Mn 0.3750 0.3558 0.7500  2 Re 2.37, 2 Pd 2.55
Mn 0.8750 0.8942 0.7500  2 Re 2.37, 2 Pd 2.55
Pd 0.5000 0.5000 0.0000  4 Mn 2.55, 2 Re 2.67
Pd 0.2500 0.7500 0.5000  4 Mn 2.55, 2 Re 2.67